# U2MoRu PBE relaxed
# - ΔE_f: 0.397 eV per atom
data_U2MoRu
_chemical_formula_sum 'U2 Mo1 Ru1'
_space_group_name_H-M_alt 'P 1'
_space_group_IT_number 1
_cell_length_a 9.977
_cell_length_b 9.977
_cell_length_c 9.977
_cell_angle_alpha 17.00
_cell_angle_beta 17.00
_cell_angle_gamma 17.00
loop_
_space_group_symop_operation_xyz
'x,y,z'
loop_
_atom_site_label
_atom_site_fract_x
_atom_site_fract_y
_atom_site_fract_z
_atom_site_occupancy
U1 0.088 0.088 0.088 1
U2 0.912 0.912 0.912 1
Mo1 0.000 0.000 0.000 1
Ru1 0.500 0.500 0.500 1